[1]
NiB2Pb2O6: optimized geometry, PBE with a Hubbard U.

Cell: 5.8646 5.8646 6.2409 Å, 116.73 116.73 51.53°
Positions (direct):
Ni  0.0000  0.0000  0.0000
B  0.4984  0.4984  0.7661
B  0.5016  0.5016  0.2339
Pb  0.2024  0.2024  0.7070
Pb  0.7976  0.7976  0.2930
O  0.1869  0.6497  0.7352
O  0.3503  0.8131  0.2648
O  0.3581  0.3581  0.1717
O  0.6419  0.6419  0.8283
O  0.6497  0.1869  0.7352
O  0.8131  0.3503  0.2648

Computed properties:
DFT total energy: -6.517 eV/atom

***

[2]
Ni2B2PdO6: optimized geometry, PBE with a Hubbard U.

Cell: 4.9939 4.9939 5.7839 Å, 90.00 90.00 120.00°
Positions (direct):
Ni  0.3333  0.6667  0.3268
Ni  0.6667  0.3333  0.6732
B  0.3333  0.6667  0.7713
B  0.6667  0.3333  0.2287
Pd  0.0000  0.0000  0.0000
O  0.0591  0.6720  0.7630
O  0.3280  0.3872  0.7630
O  0.3872  0.0591  0.2370
O  0.6128  0.9409  0.7630
O  0.6720  0.6128  0.2370
O  0.9409  0.3280  0.2370

Computed properties:
DFT total energy: -6.180 eV/atom

***

[3]
NiBPdO5: optimized geometry, PBE with a Hubbard U.

Cell: 5.0575 5.0575 7.0280 Å, 104.63 104.63 104.90°
Positions (direct):
Ni  0.1454  0.8546  0.7500
Ni  0.8546  0.1454  0.2500
B  0.1898  0.8102  0.2500
B  0.8102  0.1898  0.7500
Pd  0.5000  0.5000  0.0000
Pd  0.5000  0.5000  0.5000
O  0.0891  0.2191  0.9109
O  0.1527  0.5729  0.3352
O  0.2191  0.0891  0.4109
O  0.3925  0.6075  0.7500
O  0.4271  0.8473  0.1648
O  0.5729  0.1527  0.8352
O  0.6075  0.3925  0.2500
O  0.7809  0.9109  0.5891
O  0.8473  0.4271  0.6648
O  0.9109  0.7809  0.0891

Computed properties:
DFT total energy: -5.881 eV/atom

***

[4]
NiBPdO4: optimized geometry, PBE with a Hubbard U.

Cell: 4.7834 4.7834 6.2648 Å, 90.00 90.00 113.42°
Positions (direct):
Ni  0.0000  0.0000  0.0000
Ni  0.0000  0.0000  0.5000
B  0.3586  0.6414  0.7500
B  0.6414  0.3586  0.2500
Pd  0.2961  0.7039  0.2500
Pd  0.7039  0.2961  0.7500
O  0.2375  0.2992  0.7500
O  0.2504  0.7496  0.5631
O  0.2504  0.7496  0.9369
O  0.2992  0.2375  0.2500
O  0.7008  0.7625  0.7500
O  0.7496  0.2504  0.0631
O  0.7496  0.2504  0.4369
O  0.7625  0.7008  0.2500

Computed properties:
DFT total energy: -6.022 eV/atom

***

[5]
PmNiBO4: optimized geometry, PBE with a Hubbard U.

Cell: 6.1072 6.1072 6.1072 Å, 129.02 99.44 101.91°
Positions (direct):
Pm  0.0000  0.0000  0.0000
Pm  0.5000  0.0000  0.5000
Ni  0.5000  0.0000  0.0000
Ni  0.5000  0.5000  0.5000
B  0.1467  0.3967  0.7500
B  0.8533  0.6033  0.2500
O  0.1106  0.7019  0.4087
O  0.2068  0.2981  0.9087
O  0.2665  0.2817  0.5153
O  0.2665  0.7512  0.9847
O  0.7335  0.2488  0.0153
O  0.7335  0.7183  0.4847
O  0.7932  0.7019  0.0913
O  0.8894  0.2981  0.5913

Computed properties:
DFT total energy: -6.790 eV/atom

***

[6]
PuNi2B2O6: optimized geometry, PBE with a Hubbard U.

Cell: 5.1203 5.1203 6.1263 Å, 90.00 90.00 120.00°
Positions (direct):
Pu  0.0000  0.0000  0.0000
Ni  0.3333  0.6667  0.3259
Ni  0.6667  0.3333  0.6741
B  0.3333  0.6667  0.7569
B  0.6667  0.3333  0.2431
O  0.0607  0.6633  0.7598
O  0.3367  0.3974  0.7598
O  0.3974  0.0607  0.2402
O  0.6026  0.9393  0.7598
O  0.6633  0.6026  0.2402
O  0.9393  0.3367  0.2402

Computed properties:
DFT total energy: -7.529 eV/atom

***

Copy entry 2 word for word.
Ni2B2PdO6: optimized geometry, PBE with a Hubbard U.

Cell: 4.9939 4.9939 5.7839 Å, 90.00 90.00 120.00°
Positions (direct):
Ni  0.3333  0.6667  0.3268
Ni  0.6667  0.3333  0.6732
B  0.3333  0.6667  0.7713
B  0.6667  0.3333  0.2287
Pd  0.0000  0.0000  0.0000
O  0.0591  0.6720  0.7630
O  0.3280  0.3872  0.7630
O  0.3872  0.0591  0.2370
O  0.6128  0.9409  0.7630
O  0.6720  0.6128  0.2370
O  0.9409  0.3280  0.2370

Computed properties:
DFT total energy: -6.180 eV/atom

***

Look up the DFT total energy of the first one.
-6.517 eV/atom

***

Look up the DFT total energy of the fourth one.
-6.022 eV/atom